Record 1
SbH2Os: optimized geometry, PBE.

Cell: 6.382 3.115 5.371 Å, 90.00 90.44 90.00°
Fractional coordinates of all 8 atoms:
Sb1 0.620 0.000 0.745
Sb2 0.620 0.500 0.245
H1 0.193 0.000 0.071
H2 0.193 0.500 0.571
H3 0.040 0.000 0.405
H4 0.040 0.500 0.905
Os1 0.296 0.000 0.407
Os2 0.296 0.500 0.907

## Properties
SG: Cm, No. 8
Magnetization in μB per cell: 0.000
DFT total energy in eV/atom: -5.204
Energy above the most stable polymorph in this dataset in eV/f.u.: 0.596

Record 2
SbH6Os: optimized geometry, PBE.

Cell: 4.400 4.402 5.522 Å, 72.64 75.60 107.35°
Fractional coordinates of all 8 atoms:
Sb1 0.500 0.500 0.000
H1 0.789 0.870 0.347
H2 0.872 0.300 0.824
H3 0.287 0.968 0.740
H4 0.128 0.700 0.176
H5 0.211 0.130 0.653
H6 0.713 0.032 0.260
Os1 0.000 0.000 0.000

## Properties
SG: P-1, No. 2
Magnetization in μB per cell: 0.000
DFT total energy in eV/atom: -4.174

Record 3
SbH2Os: optimized geometry, PBE.

Cell: 3.164 4.785 6.902 Å, 90.00 90.00 90.00°
Fractional coordinates of all 8 atoms:
Sb1 0.000 0.000 0.614
Sb2 0.500 0.500 0.114
H1 0.000 0.500 0.555
H2 0.500 0.000 0.055
H3 0.000 0.000 0.181
H4 0.500 0.500 0.681
Os1 0.000 0.500 0.792
Os2 0.500 0.000 0.292

## Properties
SG: Imm2, No. 44
Magnetization in μB per cell: 0.000
DFT total energy in eV/atom: -5.304
Energy above the most stable polymorph in this dataset in eV/f.u.: 0.197

Record 4
TlSb2HOs: optimized geometry, PBE.

Cell: 4.457 4.729 4.457 Å, 90.00 90.00 90.00°
Fractional coordinates of all 5 atoms:
Sb1 0.000 0.000 0.500
Sb2 0.500 0.000 0.000
Tl1 0.000 0.500 0.000
Os1 0.500 0.500 0.500
H1 0.000 0.000 0.000

## Properties
SG: P4/mmm, No. 123
Magnetization in μB per cell: 0.000
DFT total energy in eV/atom: -4.048

Record 5
ZrSbH2Os: optimized geometry, PBE.

Cell: 3.871 5.150 3.871 Å, 90.00 90.00 90.00°
Fractional coordinates of all 5 atoms:
Sb1 0.000 0.500 0.000
Os1 0.000 0.000 0.000
Zr1 0.500 0.500 0.500
H1 0.000 0.000 0.500
H2 0.500 0.000 0.000

## Properties
SG: P4/mmm, No. 123
Magnetization in μB per cell: 0.000
DFT total energy in eV/atom: -5.636

Record 6
Sc2HOs: optimized geometry, PBE.

Cell: 6.155 6.155 5.400 Å, 55.25 55.25 90.00°
Fractional coordinates of all 8 atoms:
Sc1 0.544 0.125 0.250
Sc2 0.206 0.625 0.250
Sc3 0.375 0.456 0.750
Sc4 0.875 0.794 0.750
H1 0.500 0.500 0.000
H2 0.250 0.750 0.500
Os1 0.000 0.000 0.000
Os2 0.750 0.250 0.500

## Properties
SG: I-42d, No. 122
Magnetization in μB per cell: 0.000
DFT total energy in eV/atom: -6.962
Energy above the most stable polymorph in this dataset in eV/f.u.: 0.823

Record 7
ScHOs2: optimized geometry, PBE.

Cell: 4.274 4.274 4.274 Å, 60.00 60.00 60.00°
Fractional coordinates of all 4 atoms:
Sc1 0.500 0.500 0.500
H1 0.000 0.000 0.000
Os1 0.250 0.250 0.250
Os2 0.750 0.750 0.750

## Properties
SG: Fm-3m, No. 225
Magnetization in μB per cell: 0.000
DFT total energy in eV/atom: -7.006
Energy above the most stable polymorph in this dataset in eV/f.u.: 3.278

Record 8
ScH2Os: optimized geometry, PBE.

Cell: 4.165 4.165 5.560 Å, 68.01 68.01 90.00°
Fractional coordinates of all 8 atoms:
Sc1 0.500 0.500 0.000
Sc2 0.250 0.750 0.500
H1 0.681 0.125 0.250
H2 0.069 0.625 0.250
H3 0.375 0.319 0.750
H4 0.875 0.931 0.750
Os1 0.000 0.000 0.000
Os2 0.750 0.250 0.500

## Properties
SG: I-42d, No. 122
Magnetization in μB per cell: 0.000
DFT total energy in eV/atom: -6.242
Energy above the most stable polymorph in this dataset in eV/f.u.: 0.000

Record 9
ScH2Os: optimized geometry, PBE.

Cell: 3.837 3.837 3.837 Å, 60.00 60.00 60.00°
Fractional coordinates of all 4 atoms:
Sc1 0.000 0.000 0.000
H1 0.250 0.250 0.250
H2 0.750 0.750 0.750
Os1 0.500 0.500 0.500

## Properties
SG: Fm-3m, No. 225
Magnetization in μB per cell: 0.000
DFT total energy in eV/atom: -5.768
Energy above the most stable polymorph in this dataset in eV/f.u.: 1.898

Record 10
Sc2H2Os: optimized geometry, PBE.

Cell: 3.227 3.227 6.250 Å, 75.04 75.04 90.00°
Fractional coordinates of all 5 atoms:
Sc1 0.362 0.362 0.276
Sc2 0.638 0.638 0.724
H1 0.750 0.250 0.500
H2 0.250 0.750 0.500
Os1 0.000 0.000 0.000

## Properties
SG: I4/mmm, No. 139
Magnetization in μB per cell: 0.000
DFT total energy in eV/atom: -6.636
Energy above the most stable polymorph in this dataset in eV/f.u.: 0.000

Record 11
ScHOs3: optimized geometry, PBE.

Cell: 4.679 4.679 4.679 Å, 90.00 90.00 90.00°
Each line ends with the local moment (μB).
Fractional coordinates of all 5 atoms:
Sc1 0.000 0.000 0.000  -0.10
H1 0.500 0.500 0.500  0.15
Os1 0.000 0.500 0.000  1.07
Os2 0.000 0.000 0.500  1.09
Os3 0.500 0.000 0.000  1.15

## Properties
SG: Pm-3m, No. 221
Magnetization in μB per cell: 3.747
DFT total energy in eV/atom: -5.578
Energy above the most stable polymorph in this dataset in eV/f.u.: 14.871

Record 12
Sc3HOs: optimized geometry, PBE.

Cell: 5.044 5.044 5.044 Å, 90.00 90.00 90.00°
Fractional coordinates of all 5 atoms:
Sc1 0.000 0.500 0.000
Sc2 0.000 0.000 0.500
Sc3 0.500 0.000 0.000
H1 0.500 0.500 0.500
Os1 0.000 0.000 0.000

## Properties
SG: Pm-3m, No. 221
Magnetization in μB per cell: 0.000
DFT total energy in eV/atom: -6.226
Energy above the most stable polymorph in this dataset in eV/f.u.: 3.836

Record 13
ScH4Os: optimized geometry, PBE.

Cell: 4.044 4.622 6.094 Å, 104.00 90.00 115.94°
Fractional coordinates of all 12 atoms:
Sc1 0.250 0.000 0.250
Sc2 0.750 0.000 0.750
H1 0.249 0.499 0.249
H2 0.749 0.501 0.251
H3 0.751 0.501 0.751
H4 0.251 0.499 0.749
H5 0.212 0.924 0.579
H6 0.288 0.076 0.921
H7 0.788 0.076 0.421
H8 0.712 0.924 0.079
Os1 0.500 0.500 0.000
Os2 0.000 0.500 0.500

## Properties
SG: C2/c, No. 15
Magnetization in μB per cell: 0.000
DFT total energy in eV/atom: -5.381
Energy above the most stable polymorph in this dataset in eV/f.u.: 0.091

Record 14
Sc3HOs: optimized geometry, PBE.

Cell: 3.306 6.983 7.734 Å, 72.42 90.00 90.01°
Fractional coordinates of all 10 atoms:
Sc1 0.863 0.392 0.779
Sc2 0.863 0.996 0.713
Sc3 0.863 0.603 0.062
Sc4 0.363 0.029 0.068
Sc5 0.863 0.785 0.431
Sc6 0.363 0.359 0.425
H1 0.364 0.694 0.246
H2 0.363 0.194 0.747
Os1 0.363 0.694 0.746
Os2 0.863 0.194 0.246

## Properties
SG: P2/m, No. 10
Magnetization in μB per cell: 0.000
DFT total energy in eV/atom: -6.993
Energy above the most stable polymorph in this dataset in eV/f.u.: 0.000

Record 15
Sc2HOs: optimized geometry, PBE.

Cell: 3.098 3.098 6.658 Å, 90.00 90.00 90.00°
Fractional coordinates of all 4 atoms:
Sc1 0.000 0.000 0.743
Sc2 0.000 0.000 0.257
H1 0.500 0.500 0.000
Os1 0.500 0.500 0.500

## Properties
SG: P4/mmm, No. 123
Magnetization in μB per cell: 0.000
DFT total energy in eV/atom: -6.997
Energy above the most stable polymorph in this dataset in eV/f.u.: 0.685

Record 16
Sc3HOs: optimized geometry, PBE.

Cell: 4.291 4.291 4.291 Å, 90.00 90.00 90.00°
Fractional coordinates of all 5 atoms:
Sc1 0.000 0.500 0.000
Sc2 0.000 0.000 0.500
Sc3 0.500 0.000 0.000
H1 0.000 0.000 0.000
Os1 0.500 0.500 0.500

## Properties
SG: Pm-3m, No. 221
Magnetization in μB per cell: 0.001
DFT total energy in eV/atom: -6.909
Energy above the most stable polymorph in this dataset in eV/f.u.: 0.421

Record 17
Sc2HOs: optimized geometry, PBE.

Cell: 7.846 7.846 7.846 Å, 21.85 21.85 21.85°
Fractional coordinates of all 4 atoms:
Sc1 0.892 0.892 0.892
Sc2 0.108 0.108 0.108
H1 0.500 0.500 0.500
Os1 0.000 0.000 0.000

## Properties
SG: R-3m, No. 166
Magnetization in μB per cell: 0.000
DFT total energy in eV/atom: -6.592
Energy above the most stable polymorph in this dataset in eV/f.u.: 2.304

Record 18
ScHOs3: optimized geometry, PBE.

Cell: 3.997 3.997 3.997 Å, 90.00 90.00 90.00°
Fractional coordinates of all 5 atoms:
Sc1 0.500 0.500 0.500
H1 0.000 0.000 0.000
Os1 0.000 0.500 0.000
Os2 0.000 0.000 0.500
Os3 0.500 0.000 0.000

## Properties
SG: Pm-3m, No. 221
Magnetization in μB per cell: 0.000
DFT total energy in eV/atom: -8.553
Energy above the most stable polymorph in this dataset in eV/f.u.: 0.000

Record 19
Sc2H8Os: optimized geometry, PBE.

Cell: 3.270 4.063 6.626 Å, 107.71 104.28 90.00°
Each line ends with the local moment (μB).
Fractional coordinates of all 11 atoms:
Sc1 0.149 0.648 0.298  0.06
Sc2 0.851 0.352 0.702  0.06
H1 0.617 0.349 0.235  0.00
H2 0.383 0.117 0.765  0.00
H3 0.240 0.241 0.481  0.00
H4 0.000 0.770 0.000  0.00
H5 0.760 0.759 0.519  0.00
H6 0.617 0.883 0.235  0.00
H7 0.383 0.651 0.765  0.00
H8 0.000 0.230 0.000  0.00
Os1 0.500 0.000 0.000  0.26

## Properties
SG: C2/m, No. 12
Magnetization in μB per cell: 0.417
DFT total energy in eV/atom: -4.891

Record 20
Sc2H2Os: optimized geometry, PBE.

Cell: 3.179 3.179 6.210 Å, 90.00 90.00 90.00°
Fractional coordinates of all 5 atoms:
Sc1 0.500 0.500 0.740
Sc2 0.500 0.500 0.260
H1 0.500 0.000 0.500
H2 0.000 0.500 0.500
Os1 0.000 0.000 0.000

## Properties
SG: P4/mmm, No. 123
Magnetization in μB per cell: 0.000
DFT total energy in eV/atom: -6.501
Energy above the most stable polymorph in this dataset in eV/f.u.: 0.675